1.
This record from the Alexandria database describes a geometry-optimized ScFeP2 structure. The functional is GGA-PBE.

Unit cell a=3.7003 b=3.4651 c=4.7037 alpha=89.97 beta=90.00 gamma=90.00
Fractional positions:
1 P 0.0000 0.7505 0.0089
2 P 0.0000 0.7495 0.4911
3 Sc 0.5000 0.2500 0.2500
4 Fe 0.5000 0.7500 0.7500

raw total energy: -28.4 eV per cell
formation energy: -0.70 eV/atom
SG: No. 47
E above lowest polymorph: 84 meV/atom

2.
This record from the Alexandria database describes a geometry-optimized ScFeP2 structure. The functional is GGA-PBE.

Unit cell a=4.3161 b=4.3161 c=4.3161 alpha=60.00 beta=60.00 gamma=60.00
Fractional positions:
1 P 0.2500 0.2500 0.2500
2 P 0.0000 0.0000 0.0000
3 Fe 0.5000 0.5000 0.5000
4 Sc 0.7500 0.7500 0.7500

raw total energy: -25.9 eV per cell
formation energy: -0.07 eV/atom
SG: No. 216
E above lowest polymorph: 715 meV/atom

3.
This record from the Alexandria database describes a geometry-optimized ScFeP2 structure. The functional is GGA-PBE.

Unit cell a=3.5979 b=3.5978 c=5.1019 alpha=90.00 beta=90.00 gamma=90.00
Fractional positions:
1 P 0.0000 0.0000 0.8752
2 P 0.5000 0.5000 0.3747
3 Sc 0.0000 0.0000 0.3753
4 Fe 0.5000 0.5000 0.8747

raw total energy: -27.8 eV per cell
formation energy: -0.55 eV/atom
SG: No. 123
E above lowest polymorph: 235 meV/atom

4.
This record from the Alexandria database describes a geometry-optimized ScFeP2 structure. The functional is GGA-PBE.

Unit cell a=4.4357 b=4.4357 c=4.4357 alpha=130.46 beta=106.76 gamma=93.59
Fractional positions:
1 P 0.4478 0.4478 0.0000
2 P 0.0522 0.0522 0.0000
3 Fe 0.2500 0.7500 0.5000
4 Sc 0.7500 0.2500 0.5000

raw total energy: -28.0 eV per cell
formation energy: -0.60 eV/atom
SG: No. 71
E above lowest polymorph: 183 meV/atom

5.
This record from the Alexandria database describes a geometry-optimized ScFeP structure. The functional is GGA-PBE.

Unit cell a=5.1919 b=5.1919 c=5.1919 alpha=146.35 beta=146.35 gamma=48.33
Fractional positions:
1 Sc 0.6676 0.6676 0.0000
2 Fe 0.9647 0.9647 0.0000
3 P 0.3677 0.3677 0.0000

raw total energy: -21.8 eV per cell
formation energy: -0.55 eV/atom
SG: No. 107

6.
This record from the Alexandria database describes a geometry-optimized ScFe2P2 structure. The functional is GGA-PBE.

Unit cell a=6.7932 b=6.7932 c=2.6903 alpha=90.00 beta=90.00 gamma=90.00
Fractional positions:
1 Sc 0.5000 0.5000 0.0000
2 Sc 0.0000 0.0000 0.0000
3 Fe 0.6368 0.8632 0.5000
4 Fe 0.1368 0.6368 0.5000
5 Fe 0.3632 0.1368 0.5000
6 Fe 0.8632 0.3632 0.5000
7 P 0.6488 0.1488 0.0000
8 P 0.8512 0.6488 0.0000
9 P 0.3512 0.8512 0.0000
10 P 0.1488 0.3512 0.0000

raw total energy: -72.5 eV per cell
formation energy: -0.44 eV/atom
SG: No. 127